Entry 1:
Fe3WS | SCAN | PBEsol geometry

a = 4.452 Å, b = 4.452 Å, c = 4.452 Å
α = 90.00°, β = 90.00°, γ = 90.00°
Fractional coordinates of all 5 atoms:
Fe  0.000  0.000  0.500
Fe  0.000  0.500  0.000
Fe  0.500  0.000  0.000
W  0.000  0.000  0.000
S  0.500  0.500  0.500

Values from the calculation:
E_form (uncorrected): 1.84 eV per atom
Final energy: -24.91 eV per atom
Crystal system: cubic

***

Entry 2:
YFeS3 | SCAN | PBEsol geometry

a = 4.464 Å, b = 4.464 Å, c = 4.464 Å
α = 90.00°, β = 90.00°, γ = 90.00°
Fractional coordinates of all 5 atoms:
Y  0.000  0.000  0.000
Fe  0.500  0.500  0.500
S  0.000  0.500  0.500
S  0.500  0.000  0.500
S  0.500  0.500  0.000

Values from the calculation:
E_form (uncorrected): -0.93 eV per atom
Final energy: -15.90 eV per atom
Crystal system: cubic

***

Entry 3:
YFeS2 | SCAN | PBEsol geometry

a = 7.593 Å, b = 7.593 Å, c = 7.593 Å
α = 29.96°, β = 29.96°, γ = 29.96°
Fractional coordinates of all 4 atoms:
Y  0.000  0.000  0.000
Fe  0.500  0.500  0.500
S  0.400  0.400  0.400
S  0.600  0.600  0.600

Values from the calculation:
E_form (uncorrected): -1.18 eV per atom
Final energy: -17.49 eV per atom
Crystal system: trigonal

***

Entry 4:
Zn3FeS | SCAN | PBEsol geometry

a = 4.565 Å, b = 4.565 Å, c = 4.565 Å
α = 90.00°, β = 90.00°, γ = 90.00°
Fractional coordinates of all 5 atoms:
Zn  0.000  0.000  0.500
Zn  0.000  0.500  0.000
Zn  0.500  0.000  0.000
Fe  0.000  0.000  0.000
S  0.500  0.500  0.500

Values from the calculation:
E_form (uncorrected): 0.71 eV per atom
Final energy: -12.95 eV per atom
Crystal system: cubic

***

Entry 5:
ZnFe3S | SCAN | PBEsol geometry

a = 4.352 Å, b = 4.352 Å, c = 4.352 Å
α = 90.00°, β = 90.00°, γ = 90.00°
Fractional coordinates of all 5 atoms:
Zn  0.000  0.000  0.000
Fe  0.000  0.000  0.500
Fe  0.000  0.500  0.000
Fe  0.500  0.000  0.000
S  0.500  0.500  0.500

Values from the calculation:
E_form (uncorrected): 1.15 eV per atom
Final energy: -14.35 eV per atom
Crystal system: cubic

***

Entry 6:
ZrZnFeS2 | SCAN | PBEsol geometry

a = 4.262 Å, b = 4.262 Å, c = 4.754 Å
α = 90.00°, β = 90.00°, γ = 90.00°
Fractional coordinates of all 5 atoms:
Zr  0.000  0.000  0.000
Zn  0.500  0.500  0.000
Fe  0.000  0.000  0.500
S  0.000  0.500  0.500
S  0.500  0.000  0.500

Values from the calculation:
E_form (uncorrected): 0.14 eV per atom
Final energy: -16.18 eV per atom
Crystal system: tetragonal

***

Entry 7:
ZrFeS3 | SCAN | PBEsol geometry

a = 4.883 Å, b = 4.883 Å, c = 4.883 Å
α = 90.00°, β = 90.00°, γ = 90.00°
Fractional coordinates of all 5 atoms:
Zr  0.000  0.000  0.000
Fe  0.500  0.500  0.500
S  0.000  0.000  0.500
S  0.000  0.500  0.000
S  0.500  0.000  0.000

Values from the calculation:
E_form (uncorrected): -0.31 eV per atom
Final energy: -15.85 eV per atom
Crystal system: cubic

***

Entry 8:
Fe3Sb | SCAN | PBEsol geometry

a = 5.389 Å, b = 5.389 Å, c = 4.266 Å
α = 90.00°, β = 90.00°, γ = 120.00°
Fractional coordinates of all 8 atoms:
Fe  0.153  0.305  0.250
Fe  0.153  0.847  0.250
Fe  0.305  0.153  0.750
Fe  0.695  0.847  0.250
Fe  0.847  0.153  0.750
Fe  0.847  0.695  0.750
Sb  0.333  0.667  0.750
Sb  0.667  0.333  0.250

Values from the calculation:
E_form (uncorrected): 0.00 eV per atom
Final energy: -22.91 eV per atom
Crystal system: hexagonal

***

no.,density of states at the Fermi level (states/eV/cell)
1,6.84
2,2.49
3,3.95
4,2.26
5,5.16
6,3.90
7,5.22
8,3.78